{
  "formula": "CsNdO2",
  "functional": "GGA-PBEsol",
  "state": "optimized geometry",
  "lattice": [[3.6520, 0.0000, 0.0000], [-1.8260, 3.1627, 0.0000], [0.0000, 0.0000, 13.5962]],
  "species": ["Cs", "Cs", "Nd", "Nd", "O", "O", "O", "O"],
  "frac_coords": [[0.3333, 0.6667, 0.2500], [0.6667, 0.3333, 0.7500], [0.0000, 0.0000, 0.0000], [0.0000, 0.0000, 0.5000], [0.3333, 0.6667, 0.5860], [0.3333, 0.6667, 0.9140], [0.6667, 0.3333, 0.0860], [0.6667, 0.3333, 0.4140]],
  "e_form_raw_kj_per_mol_fu": -990
}


{
  "formula": "Rh2SeCl",
  "functional": "GGA-PBEsol",
  "state": "optimized geometry",
  "lattice": [[0.0000, 3.1305, 3.1305], [3.1305, 0.0000, 3.1305], [3.1305, 3.1305, 0.0000]],
  "species": ["Rh", "Rh", "Se", "Cl"],
  "frac_coords": [[0.0000, 0.0000, 0.0000], [0.2500, 0.2500, 0.2500], [0.5000, 0.5000, 0.5000], [0.7500, 0.7500, 0.7500]],
  "e_form_raw_kj_per_mol_fu": 230,
  "polymorph_energy_mev_per_atom": 440.0
}


{
  "formula": "LaScZn",
  "functional": "GGA-PBEsol",
  "state": "optimized geometry",
  "lattice": [[-1.7457, 1.7457, 5.9472], [1.7457, -1.7457, 5.9472], [1.7457, 1.7457, -5.9472]],
  "species": ["La", "Sc", "Zn"],
  "frac_coords": [[0.0000, 0.0000, 0.0000], [0.2892, 0.2892, 0.0000], [0.6765, 0.6765, 0.0000]],
  "polymorph_energy_mev_per_atom": 0.0
}


{
  "formula": "LaSbPb",
  "functional": "GGA-PBEsol",
  "state": "optimized geometry",
  "lattice": [[0.0000, 3.7241, 3.7241], [3.7241, 0.0000, 3.7241], [3.7241, 3.7241, 0.0000]],
  "species": ["La", "Sb", "Pb"],
  "frac_coords": [[0.0000, 0.0000, 0.0000], [0.7500, 0.7500, 0.7500], [0.2500, 0.2500, 0.2500]],
  "e_form_raw_kj_per_mol_fu": -79,
  "polymorph_energy_mev_per_atom": 247.2
}


{
  "formula": "SbWSeBr2",
  "functional": "GGA-PBEsol",
  "state": "optimized geometry",
  "lattice": [[5.3228, 0.0000, 0.0000], [0.0000, 5.3228, 0.0000], [0.0000, 0.0000, 5.5048]],
  "species": ["Sb", "W", "Se", "Br", "Br"],
  "frac_coords": [[0.0000, 0.0000, 0.0000], [0.5000, 0.5000, 0.5000], [0.0000, 0.0000, 0.5000], [0.0000, 0.5000, 0.0000], [0.5000, 0.0000, 0.0000]],
  "e_form_raw_kj_per_mol_fu": 636
}


{
  "formula": "CoOsSeBr2",
  "functional": "GGA-PBEsol",
  "state": "optimized geometry",
  "lattice": [[5.1326, 0.0000, 0.0000], [0.0000, 5.1326, 0.0000], [0.0000, 0.0000, 4.5820]],
  "species": ["Co", "Os", "Se", "Br", "Br"],
  "frac_coords": [[0.0000, 0.0000, 0.0000], [0.5000, 0.5000, 0.5000], [0.5000, 0.5000, 0.0000], [0.0000, 0.5000, 0.5000], [0.5000, 0.0000, 0.5000]],
  "e_form_raw_kj_per_mol_fu": 541
}


DOS(E_F) list, top to bottom, in states/eV/f.u.: 0.0, 4.1, 3.7, 2.2, 4.7, 9.1
Total DFT energy (no corrections) list, top to bottom, in eV/atom: -6.716, -4.937, -4.675, -4.907, -3.872, -4.387